CoGeNO (GGA+U, relaxed); excess energy over the best structure of this formula in the dataset = 369 meV/atom
1.0
2.566 -2.562 0.000
2.566 2.562 0.000
0.000 0.000 8.387
O Co Ge N
2 2 2 2
direct
0.750 0.250 0.000
0.250 0.750 0.000
0.750 0.250 0.500
0.250 0.750 0.500
0.250 0.250 0.124
0.750 0.750 0.876
0.750 0.750 0.435
0.250 0.250 0.565